HfGe2Pd2 | GGA-PBE | optimized geometry

Unit cell a=7.4663 b=7.4663 c=3.0174 alpha=90.00 beta=90.00 gamma=90.00
Closest atoms and distances in Å follow each position.
Sites, in units of the cell vectors:
Hf 0.0000 0.0000 0.0000  4 Ge 2.84, 2 Hf 3.02
Hf 0.5000 0.5000 0.0000  4 Ge 2.84, 2 Hf 3.02
Ge 0.1507 0.3493 0.0000  6 Pd 2.62-2.68, 2 Hf 2.84
Ge 0.3493 0.8493 0.0000  6 Pd 2.62-2.68, 2 Hf 2.84
Ge 0.6507 0.1507 0.0000  6 Pd 2.62-2.68, 2 Hf 2.84
Ge 0.8493 0.6507 0.0000  6 Pd 2.62-2.68, 2 Hf 2.84
Pd 0.1466 0.6466 0.5000  6 Ge 2.62-2.68
Pd 0.3534 0.1466 0.5000  6 Ge 2.62-2.68
Pd 0.6466 0.8534 0.5000  6 Ge 2.62-2.68
Pd 0.8534 0.3534 0.5000  6 Ge 2.62-2.68

Properties
**Formation energy from the elements**: -400 meV per atom
**Total DFT energy (no corrections)**: -6.315 eV/atom

---

TlSiS2N | GGA-PBE | optimized geometry

Unit cell a=4.9291 b=4.9291 c=3.4083 alpha=90.00 beta=90.00 gamma=90.00
Closest atoms and distances in Å follow each position.
Sites, in units of the cell vectors:
Tl 0.0000 0.0000 0.0000  8 S 3.00
Si 0.5000 0.5000 0.5000  2 N 1.70
S 0.0000 0.5000 0.5000  2 Si 2.46
S 0.5000 0.0000 0.5000  2 Si 2.46
N 0.5000 0.5000 0.0000  2 Si 1.70

Properties
**Total DFT energy (no corrections)**: -4.701 eV/atom
**Formation energy without anion corrections**: 0.1729 eV per atom
**Energy above the lowest structure with this stoichiometry**: 0.000 eV/f.u.

---

RbLiHo2Te4 | GGA-PBE | optimized geometry

Unit cell a=7.8819 b=7.8819 c=15.7298 alpha=90.00 beta=90.00 gamma=146.96
Closest atoms and distances in Å follow each position.
Sites, in units of the cell vectors:
Rb 0.1126 0.8874 0.7500  6 Te 3.56-3.69
Rb 0.8874 0.1126 0.2500  6 Te 3.56-3.69
Li 0.1673 0.8327 0.2500  4 Te 2.68-2.70
Li 0.8327 0.1673 0.7500  4 Te 2.68-2.70
Ho 0.3671 0.6329 0.5635  6 Te 3.07-3.17
Ho 0.3671 0.6329 0.9365  6 Te 3.07-3.17
Ho 0.6329 0.3671 0.0635  6 Te 3.07-3.17
Ho 0.6329 0.3671 0.4365  6 Te 3.07-3.17
Te 0.0000 0.0000 0.0000  4 Ho 3.17
Te 0.0000 0.0000 0.5000  4 Ho 3.17
Te 0.2646 0.7354 0.1058  1 Li 2.70
Te 0.2646 0.7354 0.3942  1 Li 2.70
Te 0.4299 0.5701 0.7500  2 Li 2.68
Te 0.5701 0.4299 0.2500  2 Li 2.68
Te 0.7354 0.2646 0.6058  1 Li 2.70
Te 0.7354 0.2646 0.8942  1 Li 2.70

Properties
**Total DFT energy (no corrections)**: -4.380 eV/atom
**Formation energy without anion corrections**: -1.3049 eV per atom

---

Pa3PtS2O6 | GGA-PBE | optimized geometry

Unit cell a=7.0225 b=7.0225 c=6.0034 alpha=103.53 beta=103.53 gamma=67.85
Closest atoms and distances in Å follow each position.
Sites, in units of the cell vectors:
Pa 0.0000 0.0000 0.0000  4 O 2.13
Pa 0.0000 0.5000 0.5000  4 O 2.08-2.25
Pa 0.5000 0.0000 0.5000  4 O 2.08-2.25
Pt 0.5000 0.5000 0.5000  2 O 1.93
S 0.1627 0.1627 0.7350  3 Pa 2.77-2.80, 1 O 3.02
S 0.8373 0.8373 0.2650  3 Pa 2.77-2.80, 1 O 3.02
O 0.0797 0.6983 0.7920  2 Pa 2.08-2.13
O 0.3017 0.9203 0.2080  2 Pa 2.08-2.13
O 0.3276 0.3276 0.4274  1 Pt 1.93
O 0.6724 0.6724 0.5726  1 Pt 1.93
O 0.6983 0.0797 0.7920  2 Pa 2.08-2.13
O 0.9203 0.3017 0.2080  2 Pa 2.08-2.13

Properties
**Total DFT energy (no corrections)**: -8.552 eV/atom
**Formation energy without anion corrections**: -2.5071 eV per atom

---

SmZnSnPd3 | GGA-PBE | optimized geometry

Unit cell a=7.0015 b=7.0015 c=6.4295 alpha=90.00 beta=90.00 gamma=130.29
Closest atoms and distances in Å follow each position.
Sites, in units of the cell vectors:
Sm 0.1756 0.8244 0.7500  6 Pd 2.96-3.08, 1 Zn 3.00, 2 Sn 3.25
Sm 0.8244 0.1756 0.2500  6 Pd 2.96-3.08, 1 Zn 3.00, 2 Sn 3.25
Zn 0.4117 0.5883 0.7500  4 Pd 2.49
Zn 0.5883 0.4117 0.2500  4 Pd 2.49
Sn 0.1400 0.8600 0.2500  5 Pd 2.65-2.78
Sn 0.8600 0.1400 0.7500  5 Pd 2.65-2.78
Pd 0.2377 0.2377 0.0000  2 Zn 2.49, 2 Sn 2.78
Pd 0.2377 0.2377 0.5000  2 Zn 2.49, 2 Sn 2.78
Pd 0.3487 0.6513 0.2500  1 Sn 2.65, 4 Pd 2.94, 2 Sm 2.96
Pd 0.6513 0.3487 0.7500  1 Sn 2.65, 4 Pd 2.94, 2 Sm 2.96
Pd 0.7623 0.7623 0.0000  2 Zn 2.49, 2 Sn 2.78
Pd 0.7623 0.7623 0.5000  2 Zn 2.49, 2 Sn 2.78

Properties
**Formation energy from the elements**: -531 meV per atom
**Total DFT energy (no corrections)**: -4.793 eV/atom

---

NaMgNi2Au | GGA-PBE | optimized geometry

Unit cell a=4.8510 b=4.8510 c=4.9312 alpha=90.00 beta=90.00 gamma=90.00
Closest atoms and distances in Å follow each position.
Sites, in units of the cell vectors:
Na 0.0000 0.0000 0.0000  4 Mg 3.43, 8 Ni 3.46
Mg 0.5000 0.5000 0.0000  2 Au 2.47
Ni 0.0000 0.5000 0.5000  2 Au 2.43
Ni 0.5000 0.0000 0.5000  2 Au 2.43
Au 0.5000 0.5000 0.5000  4 Ni 2.43, 2 Mg 2.47

Properties
**Formation energy from the elements**: 548 meV per atom
**Total DFT energy (no corrections)**: -3.003 eV/atom

---

NdHfMg2 | GGA-PBE | optimized geometry

Unit cell a=3.5891 b=3.5891 c=7.7669 alpha=90.00 beta=90.00 gamma=90.00
Closest atoms and distances in Å follow each position.
Sites, in units of the cell vectors:
Nd 0.0000 0.0000 0.0000  8 Mg 3.35, 4 Nd 3.59
Hf 0.0000 0.0000 0.5000  8 Mg 3.06
Mg 0.5000 0.5000 0.2809  4 Hf 3.06, 4 Nd 3.35, 1 Mg 3.40
Mg 0.5000 0.5000 0.7191  4 Hf 3.06, 4 Nd 3.35, 1 Mg 3.40

Properties
**Formation energy from the elements**: 101 meV per atom
**Total DFT energy (no corrections)**: -4.376 eV/atom
**Energy above the lowest structure with this stoichiometry**: 0.000 eV/f.u.

---

Na2GaSn4 | GGA-PBE | optimized geometry

Unit cell a=8.7388 b=8.7388 c=8.7388 alpha=143.63 beta=143.63 gamma=52.38
Closest atoms and distances in Å follow each position.
Sites, in units of the cell vectors:
Na 0.1304 0.1304 0.0000  5 Sn 3.17-3.41
Na 0.8696 0.8696 0.0000  5 Sn 3.17-3.41
Ga 0.5000 0.5000 0.0000  6 Sn 2.63-2.73
Sn 0.0000 0.5000 0.5000  2 Ga 2.73
Sn 0.3323 0.3323 0.0000  1 Ga 2.63
Sn 0.5000 0.0000 0.5000  2 Ga 2.73
Sn 0.6677 0.6677 0.0000  1 Ga 2.63

Properties
**Formation energy from the elements**: 225 meV per atom
**Total DFT energy (no corrections)**: -2.872 eV/atom
**Energy above the lowest structure with this stoichiometry**: 1.069 eV/f.u.

---

GaSbOs | GGA-PBE | optimized geometry

Unit cell a=4.4021 b=4.4021 c=6.6491 alpha=109.23 beta=109.23 gamma=89.91
Closest atoms and distances in Å follow each position.
Sites, in units of the cell vectors:
Ga 0.1234 0.1234 0.2488  4 Os 2.64, 1 Sb 2.73, 1 Ga 2.93
Ga 0.8766 0.8766 0.7512  4 Os 2.64, 1 Sb 2.73, 1 Ga 2.93
Sb 0.3573 0.3573 0.7124  1 Ga 2.73, 4 Os 2.78
Sb 0.6427 0.6427 0.2876  1 Ga 2.73, 4 Os 2.78
Os 0.0000 0.5000 0.0000  4 Ga 2.64, 4 Sb 2.78
Os 0.5000 0.0000 0.0000  4 Ga 2.64, 4 Sb 2.78

Properties
**Total DFT energy (no corrections)**: -6.029 eV/atom
**Formation energy without anion corrections**: 0.0969 eV per atom

---

LaScTa | GGA-PBE | optimized geometry

Unit cell a=5.6389 b=5.6389 c=5.6389 alpha=148.04 beta=129.50 gamma=61.03
Closest atoms and distances in Å follow each position.
Sites, in units of the cell vectors:
La 0.0000 0.0000 0.0000  5 Sc 3.08-3.37, 2 La 3.11, 5 Ta 3.16-3.33
Sc 0.6831 0.6831 0.0000  5 La 3.08-3.37, 2 Sc 3.11, 4 Ta 3.18
Ta 0.3255 0.3255 0.0000  2 Ta 3.11, 5 La 3.16-3.33, 5 Sc 3.18-3.47

Properties
**Formation energy from the elements**: 397 meV per atom
**Total DFT energy (no corrections)**: -7.307 eV/atom
**Energy above the lowest structure with this stoichiometry**: 0.348 eV/f.u.

---

CePmSi2Pt5 | GGA-PBE | optimized geometry

Unit cell a=4.2870 b=4.2870 c=8.9281 alpha=90.00 beta=90.00 gamma=90.00
Closest atoms and distances in Å follow each position.
Sites, in units of the cell vectors:
Ce 0.0000 0.0000 0.0000  8 Pt 3.18, 8 Si 3.26
Pm 0.0000 0.0000 0.5000  12 Pt 3.01-3.03
Si 0.5000 0.5000 0.1351  1 Si 2.41, 4 Pt 2.43
Si 0.5000 0.5000 0.8649  1 Si 2.41, 4 Pt 2.43
Pt 0.0000 0.5000 0.2631  2 Si 2.43
Pt 0.0000 0.5000 0.7369  2 Si 2.43
Pt 0.5000 0.0000 0.2631  2 Si 2.43
Pt 0.5000 0.0000 0.7369  2 Si 2.43
Pt 0.5000 0.5000 0.5000  8 Pt 3.01, 4 Pm 3.03, 2 Si 3.26

Properties
**Total DFT energy (no corrections)**: -6.774 eV/atom
**Formation energy without anion corrections**: -1.0255 eV per atom

---

Sn7S2Br10 | GGA-PBE | optimized geometry

Unit cell a=6.8530 b=11.0395 c=11.3438 alpha=61.17 beta=88.37 gamma=85.90
Closest atoms and distances in Å follow each position.
Sites, in units of the cell vectors:
Sn 0.0000 0.0000 0.0000  1 S 2.52, 1 Br 2.77
Sn 0.0218 0.3263 0.6676  1 S 2.51, 2 Br 2.81
Sn 0.1916 0.7885 0.4456  2 S 2.77-2.81, 2 Br 2.84-3.06
Sn 0.2265 0.9145 0.7601  3 Br 2.70-3.00
Sn 0.6727 0.1832 0.3526  3 Br 2.69-2.76
Sn 0.7305 0.6670 0.2066  1 S 2.59, 2 Br 2.79-2.88
Sn 0.8035 0.4922 0.8597  1 S 2.54
S 0.0306 0.5573 0.6597  3 Sn 2.51-2.81
S 0.9288 0.8370 0.2437  3 Sn 2.52-2.77
Br 0.0062 0.6932 0.9505  1 Sn 2.86
Br 0.0542 0.2277 0.0332  2 Sn 2.77-3.05
Br 0.4061 0.9195 0.9962  2 Sn 2.87-3.00
Br 0.4464 0.1712 0.5546  1 Sn 2.69
Br 0.4557 0.0283 0.2904  1 Sn 2.69
Br 0.4683 0.6003 0.4182  2 Sn 2.79-2.84
Br 0.4696 0.7391 0.7125  1 Sn 2.70
Br 0.6432 0.3142 0.7722  2 Sn 2.81-2.88
Br 0.9236 0.9733 0.5342  1 Sn 2.76
Br 0.9531 0.4193 0.3934  2 Sn 2.81-2.88

Properties
**Total DFT energy (no corrections)**: -3.408 eV/atom
**Formation energy without anion corrections**: -0.6181 eV per atom